Entry 1:
Here is Li2YHRh after structural relaxation from Alexandria. Energies are from GGA-PBE.

Calculated values
energy: -4.611 eV per atom
total magnetic moment: 0.0 μB/cell
D(E_F): 0.293 states/eV/atom

Cell: 3.933 3.933 4.734 Å, 90.00 90.00 90.00°
Atoms (fractional coordinates):
Li: 0.000 0.500 0.000
Li: 0.500 0.000 0.000
Y: 0.000 0.000 0.500
H: 0.000 0.000 0.000
Rh: 0.500 0.500 0.500

***

Entry 2:
Here is SrScPb2F after structural relaxation from Alexandria. Energies are from GGA-PBE.

Calculated values
energy: -4.625 eV per atom
total magnetic moment: 0.0 μB/cell
D(E_F): 0.502 states/eV/atom

Cell: 6.057 6.057 4.001 Å, 90.00 90.00 90.00°
Atoms (fractional coordinates):
Sr: 0.000 0.000 0.000
Sc: 0.500 0.500 0.500
Pb: 0.000 0.500 0.500
Pb: 0.500 0.000 0.500
F: 0.500 0.500 0.000

***

Entry 3:
Here is Mn2FeCo after structural relaxation from Alexandria. Energies are from GGA-PBE.

Calculated values
energy: -8.373 eV per atom
total magnetic moment: 0.2 μB/cell
excess energy over the best structure of this formula in the dataset: 0.38 eV per formula unit
ΔE_f: 0.104 eV/atom
D(E_F): 1.322 states/eV/atom

Cell: 8.176 8.176 8.176 Å, 17.34 17.34 17.34°
Atoms (fractional coordinates):
Mn: 0.250 0.250 0.250
Mn: 0.750 0.750 0.750
Fe: 0.500 0.500 0.500
Co: 0.000 0.000 0.000